No. 1
Density functional theory data (PBEsol) for Ag8Sb after structural relaxation.

Properties
M_tot = 0.00 μB/cell
DOS(E_F) = 0.269 states/eV/atom

Unit cell a=8.671 b=8.671 c=4.162 alpha=90.00 beta=90.00 gamma=90.00
Space group I4/mmm (No. 139)
Asymmetric unit:
1 Ag 0.000 0.337 0.000 x8
2 Ag 0.170 0.170 0.500 x8
3 Sb 0.000 0.000 0.000 x2

No. 2
Density functional theory data (PBEsol) for ScAg3Sb after structural relaxation.

Properties
M_tot = 0.00 μB/cell
DOS(E_F) = 0.689 states/eV/atom

Unit cell a=4.990 b=4.990 c=4.990 alpha=90.00 beta=90.00 gamma=90.00
Space group Pm-3m (No. 221)
Asymmetric unit:
1 Sc 0.000 0.000 0.000 x1
2 Ag 0.000 0.000 0.500 x3
3 Sb 0.500 0.500 0.500 x1

Uncorrected formation energy (eV/atom)
0.012 0.942